No. 1
Density functional theory data (GGA-PBE) for a relaxed structure of BaNb3NO7.

Calculated values
DFT total energy   -8.679 eV per atom
Total magnetization   0.000 μB per atom
Density   4827 kg/m3
Formation energy from raw total energies   -2.4154 eV/atom
Space-group type   Cm (8)
Polymorph energy (0 for the lowest one)   0 meV per atom

Cell lengths 10.6964, 10.6964, 9.0894 Å; angles 89.77, 89.77, 21.01 degrees
Element x y z (fractional)
Ba1 0.0129 0.0129 0.2458
Ba2 0.9764 0.9764 0.7567
Nb1 0.3602 0.3602 0.0474
Nb2 0.7562 0.7562 0.2496
Nb3 0.3651 0.3651 0.4416
Nb4 0.6273 0.6273 0.5628
Nb5 0.2370 0.2370 0.7457
Nb6 0.6313 0.6313 0.9292
N1 0.7021 0.7021 0.7429
N2 0.2996 0.2996 0.8939
O1 0.5659 0.5659 0.0669
O2 0.8455 0.8455 0.1013
O3 0.7027 0.7027 0.0911
O4 0.2842 0.2842 0.2469
O5 0.4181 0.4181 0.2645
O6 0.6970 0.6970 0.3998
O7 0.8427 0.8427 0.4085
O8 0.5587 0.5587 0.4346
O9 0.4271 0.4271 0.5824
O10 0.1409 0.1409 0.5795
O11 0.2879 0.2879 0.5758
O12 0.5714 0.5714 0.7521
O13 0.1491 0.1491 0.9127
O14 0.4359 0.4359 0.9427

---

No. 2
Density functional theory data (GGA-PBE) for a relaxed structure of MgCdGeSb.

Calculated values
DFT total energy   -2.694 eV per atom
Fermi-level density of states   3.83 states/eV per cell
Total magnetization   0.000 μB per atom
Density   5929 kg/m3
Formation energy from raw total energies   0.1181 eV/atom
Space-group type   F-43m (216)

Cell lengths 5.0807, 5.0807, 5.0807 Å; angles 60.00, 60.00, 60.00 degrees
Element x y z (fractional)
Sb1 0.7500 0.7500 0.7500
Ge1 0.2500 0.2500 0.2500
Mg1 0.0000 0.0000 0.0000
Cd1 0.5000 0.5000 0.5000

---

No. 3
Density functional theory data (GGA-PBE) for a relaxed structure of MgZn8Pd4.

Calculated values
DFT total energy   -2.840 eV per atom
Fermi-level density of states   4.51 states/eV per cell
Energy of formation from the pure elements   -0.34 eV per atom
Total magnetization   0.000 μB per atom
Density   7999 kg/m3
Space-group type   Pmm2 (25)

Cell lengths 4.2781, 2.8833, 16.3803 Å; angles 90.00, 90.00, 90.00 degrees
Element x y z (fractional)
Mg1 0.0000 0.0000 0.3431
Zn1 0.0000 0.0000 0.5014
Zn2 0.0000 0.5000 0.9226
Zn3 0.5000 0.5000 0.0237
Zn4 0.5000 0.0000 0.5918
Zn5 0.0000 0.5000 0.1986
Zn6 0.0000 0.0000 0.7806
Zn7 0.5000 0.0000 0.1756
Zn8 0.5000 0.5000 0.7383
Pd1 0.0000 0.0000 0.0613
Pd2 0.0000 0.5000 0.6412
Pd3 0.5000 0.5000 0.4455
Pd4 0.5000 0.0000 0.8793

---

No. 4
Density functional theory data (GGA-PBE) for a relaxed structure of KRe3B.

Calculated values
DFT total energy   -4.264 eV per atom
Fermi-level density of states   6.88 states/eV per cell
Energy of formation from the pure elements   4.76 eV per atom
Total magnetization   0.468 μB per atom
Density   11136 kg/m3
Space-group type   Pm-3m (221)
Polymorph energy (0 for the lowest one)   3420 meV per atom

Cell lengths 4.4936, 4.4936, 4.4936 Å; angles 90.00, 90.00, 90.00 degrees
Element x y z (fractional)
Re1 0.0000 0.5000 0.0000
Re2 0.0000 0.0000 0.5000
Re3 0.5000 0.0000 0.0000
K1 0.0000 0.0000 0.0000
B1 0.5000 0.5000 0.5000

---

No. 5
Density functional theory data (GGA-PBE) for a relaxed structure of CoAuS2N.

Calculated values
DFT total energy   -3.882 eV per atom
Fermi-level density of states   3.11 states/eV per cell
Total magnetization   0.596 μB per atom
Density   5874 kg/m3
Formation energy from raw total energies   1.5112 eV/atom
Space-group type   P4/mmm (123)
Polymorph energy (0 for the lowest one)   885 meV per atom

Cell lengths 5.0263, 5.0263, 3.7377 Å; angles 90.00, 90.00, 90.00 degrees
Element x y z (fractional)
Co1 0.5000 0.5000 0.5000
S1 0.0000 0.5000 0.0000
S2 0.5000 0.0000 0.0000
Au1 0.0000 0.0000 0.0000
N1 0.0000 0.0000 0.5000

---

No. 6
Density functional theory data (GGA-PBE) for a relaxed structure of Tb6CeYHo2.

Calculated values
DFT total energy   -4.679 eV per atom
Fermi-level density of states   22.31 states/eV per cell
Energy of formation from the pure elements   0.25 eV per atom
Total magnetization   0.175 μB per atom
Density   7641 kg/m3
Space-group type   C2/m (12)

Cell lengths 8.9409, 6.7553, 6.6182 Å; angles 120.69, 104.59, 90.00 degrees
Element x y z (fractional)
Tb1 0.4188 0.6307 0.2614
Tb2 0.1965 0.0728 0.6633
Tb3 0.8035 0.4096 0.3367
Tb4 0.1965 0.5904 0.6633
Tb5 0.8035 0.9272 0.3367
Tb6 0.5812 0.3693 0.7386
Ce1 0.0000 0.5000 0.0000
Y1 0.5000 0.0000 0.0000
Ho1 0.1725 0.0905 0.1809
Ho2 0.8275 0.9095 0.8191

---

No. 7
Density functional theory data (GGA-PBE) for a relaxed structure of Rb4LaSm3Se8.

Calculated values
DFT total energy   -4.934 eV per atom
Fermi-level density of states   0.00 states/eV per cell
Total magnetization   0.000 μB per atom
Density   4913 kg/m3
Formation energy from raw total energies   -1.7569 eV/atom
Space-group type   R-3m (166)

Cell lengths 8.7246, 9.4688, 8.7263 Å; angles 117.46, 119.99, 90.00 degrees
Element x y z (fractional)
Rb1 0.5000 0.0000 0.0000
Rb2 0.5000 0.0000 0.5000
Rb3 0.0000 0.0000 0.0000
Rb4 0.0000 0.0000 0.5000
La1 0.0000 0.5000 0.0000
Sm1 0.5000 0.5000 0.0000
Sm2 0.5000 0.5000 0.5000
Sm3 0.0000 0.5000 0.5000
Se1 0.2365 0.7000 0.9640
Se2 0.2364 0.6999 0.4729
Se3 0.2670 0.3015 0.5340
Se4 0.7276 0.7000 0.9640
Se5 0.2724 0.3000 0.0360
Se6 0.7330 0.6985 0.4660
Se7 0.7636 0.3001 0.5271
Se8 0.7635 0.3000 0.0360

---

No. 8
Density functional theory data (GGA-PBE) for a relaxed structure of Pu6Sb10Ru.

Calculated values
DFT total energy   -8.529 eV per atom
Fermi-level density of states   50.49 states/eV per cell
Total magnetization   1.827 μB per atom
Density   10639 kg/m3
Formation energy from raw total energies   -0.4999 eV/atom
Space-group type   P-31m (162)

Cell lengths 6.0889, 9.0756, 9.0756 Å; angles 120.00, 90.00, 90.00 degrees
Element x y z (fractional)
Pu1 0.7451 0.3862 0.3862
Pu2 0.7451 0.0000 0.6138
Pu3 0.7451 0.6138 0.0000
Pu4 0.2549 0.6138 0.6138
Pu5 0.2549 0.0000 0.3862
Pu6 0.2549 0.3862 0.0000
Sb1 0.7664 0.7579 0.7579
Sb2 0.7664 0.0000 0.2421
Sb3 0.7664 0.2421 0.0000
Sb4 0.2336 0.2421 0.2421
Sb5 0.2336 0.0000 0.7579
Sb6 0.2336 0.7579 0.0000
Sb7 0.5000 0.3333 0.6667
Sb8 0.5000 0.6667 0.3333
Sb9 0.0000 0.6667 0.3333
Sb10 0.0000 0.3333 0.6667
Ru1 0.5000 0.0000 0.0000

---

No. 9
Density functional theory data (GGA-PBE) for a relaxed structure of AgRu2N3.

Calculated values
DFT total energy   -7.201 eV per atom
Fermi-level density of states   10.58 states/eV per cell
Total magnetization   0.000 μB per atom
Density   7091 kg/m3
Formation energy from raw total energies   0.5290 eV/atom
Space-group type   P3_121 (152)

Cell lengths 3.2346, 3.2346, 27.2927 Å; angles 90.00, 90.00, 120.00 degrees
Element x y z (fractional)
Ag1 0.0000 0.6265 0.6667
Ag2 0.6265 0.0000 0.3333
Ag3 0.3735 0.3735 0.0000
Ru1 0.0390 0.7111 0.1020
Ru2 0.6721 0.9610 0.7687
Ru3 0.2889 0.3279 0.4353
Ru4 0.9610 0.6721 0.2313
Ru5 0.7111 0.0390 0.8980
Ru6 0.3279 0.2889 0.5647
N1 0.0000 0.8025 0.1667
N2 0.8025 0.0000 0.8333
N3 0.1975 0.1975 0.5000
N4 0.6265 0.9930 0.4115
N5 0.3665 0.3735 0.0781
N6 0.0070 0.6335 0.7448
N7 0.3735 0.3665 0.9219
N8 0.9930 0.6265 0.5885
N9 0.6335 0.0070 0.2552

---

No. 10
Density functional theory data (GGA-PBE) for a relaxed structure of Ce3Nd4SmP8.

Calculated values
DFT total energy   -6.841 eV per atom
Fermi-level density of states   15.00 states/eV per cell
Energy of formation from the pure elements   -1.54 eV per atom
Total magnetization   0.086 μB per atom
Density   5826 kg/m3
Space-group type   R-3m (166)

Cell lengths 8.2523, 8.2568, 8.2522 Å; angles 119.98, 120.00, 90.00 degrees
Element x y z (fractional)
Ce1 0.5000 0.5000 0.0000
Ce2 0.5000 0.5000 0.5000
Ce3 0.0000 0.5000 0.5000
Nd1 0.5000 0.0000 0.0000
Nd2 0.5000 0.0000 0.5000
Nd3 0.0000 0.0000 0.0000
Nd4 0.0000 0.0000 0.5000
Sm1 0.0000 0.5000 0.0000
P1 0.2487 0.7428 0.9940
P2 0.2488 0.7428 0.4975
P3 0.2525 0.2575 0.5050
P4 0.7453 0.7428 0.9940
P5 0.2547 0.2572 0.0060
P6 0.7475 0.7425 0.4950
P7 0.7512 0.2572 0.5025
P8 0.7513 0.2572 0.0060

---

No. 11
Density functional theory data (GGA-PBE) for a relaxed structure of YCrSb2Te.

Calculated values
DFT total energy   -4.918 eV per atom
Fermi-level density of states   3.90 states/eV per cell
Total magnetization   0.868 μB per atom
Density   4411 kg/m3
Formation energy from raw total energies   0.5769 eV/atom
Space-group type   P4/mmm (123)
Polymorph energy (0 for the lowest one)   553 meV per atom

Cell lengths 5.7784, 5.7784, 5.7726 Å; angles 90.00, 90.00, 90.00 degrees
Element x y z (fractional)
Y1 0.0000 0.0000 0.0000
Sb1 0.0000 0.5000 0.0000
Sb2 0.5000 0.0000 0.0000
Te1 0.0000 0.0000 0.5000
Cr1 0.5000 0.5000 0.5000

---

No. 12
Density functional theory data (GGA-PBE) for a relaxed structure of BaRe2NiS8.

Calculated values
DFT total energy   -6.003 eV per atom
Fermi-level density of states   3.09 states/eV per cell
Total magnetization   0.000 μB per atom
Density   5036 kg/m3
Formation energy from raw total energies   -0.5344 eV/atom
Space-group type   R-3 (148)

Cell lengths 5.9790, 5.9790, 9.4396 Å; angles 71.54, 71.54, 60.00 degrees
Element x y z (fractional)
Ba1 0.5000 0.5000 0.5000
Re1 0.2521 0.2521 0.2438
Re2 0.7479 0.7479 0.7562
Ni1 0.0000 0.0000 0.0000
S1 0.1691 0.1691 0.4927
S2 0.6252 0.2731 0.1562
S3 0.8309 0.8309 0.5073
S4 0.9455 0.6252 0.1562
S5 0.0545 0.3748 0.8438
S6 0.2731 0.9455 0.1562
S7 0.7269 0.0545 0.8438
S8 0.3748 0.7269 0.8438

---

No. 13
Density functional theory data (GGA-PBE) for a relaxed structure of ZnCrRe2.

Calculated values
DFT total energy   -8.675 eV per atom
Fermi-level density of states   2.79 states/eV per cell
Energy of formation from the pure elements   0.27 eV per atom
Total magnetization   0.483 μB per atom
Density   14297 kg/m3
Space-group type   Pmmm (47)

Cell lengths 3.1267, 4.2820, 4.2493 Å; angles 90.00, 90.00, 90.00 degrees
Element x y z (fractional)
Cr1 0.0000 0.5000 0.5000
Re1 0.0000 0.0000 0.0000
Re2 0.5000 0.5000 0.0000
Zn1 0.5000 0.0000 0.5000

---

No. 14
Density functional theory data (GGA-PBE) for a relaxed structure of LiHo2Au6.

Calculated values
DFT total energy   -4.020 eV per atom
Fermi-level density of states   3.86 states/eV per cell
Energy of formation from the pure elements   -0.60 eV per atom
Total magnetization   0.000 μB per atom
Density   14149 kg/m3
Space-group type   P-3m1 (164)
Polymorph energy (0 for the lowest one)   25 meV per atom

Cell lengths 5.3432, 6.2063, 6.2063 Å; angles 60.00, 90.00, 90.00 degrees
Element x y z (fractional)
Li1 0.0000 0.0000 0.0000
Ho1 0.8147 0.6666 0.6666
Ho2 0.1853 0.3334 0.3334
Au1 0.2971 0.3559 0.8221
Au2 0.2970 0.8220 0.8220
Au3 0.2971 0.8221 0.3559
Au4 0.7029 0.6441 0.1779
Au5 0.7030 0.1780 0.1780
Au6 0.7029 0.1779 0.6441

---

No. 15
Density functional theory data (GGA-PBE) for a relaxed structure of SrPbCl2.

Calculated values
DFT total energy   -3.707 eV per atom
Fermi-level density of states   0.87 states/eV per cell
Total magnetization   0.000 μB per atom
Density   3989 kg/m3
Formation energy from raw total energies   -1.4365 eV/atom
Space-group type   P4/mmm (123)
Polymorph energy (0 for the lowest one)   34 meV per atom

Cell lengths 3.5535, 3.5535, 12.0575 Å; angles 90.00, 90.00, 89.92 degrees
Element x y z (fractional)
Pb1 0.5000 0.5000 0.2500
Sr1 0.5000 0.5000 0.7500
Cl1 0.0000 0.0000 0.8854
Cl2 0.0000 0.0000 0.6146

---

No. 16
Density functional theory data (GGA-PBE) for a relaxed structure of FeSiWS2.

Calculated values
DFT total energy   -5.984 eV per atom
Fermi-level density of states   5.51 states/eV per cell
Total magnetization   0.403 μB per atom
Density   6520 kg/m3
Formation energy from raw total energies   1.0343 eV/atom
Space-group type   P4/mmm (123)

Cell lengths 4.1984, 4.7954, 4.1984 Å; angles 90.00, 90.00, 90.00 degrees
Element x y z (fractional)
S1 0.0000 0.0000 0.5000
S2 0.5000 0.0000 0.0000
Si1 0.5000 0.5000 0.5000
Fe1 0.0000 0.0000 0.0000
W1 0.0000 0.5000 0.0000

---

No. 17
Density functional theory data (GGA-PBE) for a relaxed structure of Zr5Fe3.

Calculated values
DFT total energy   -8.615 eV per atom
Fermi-level density of states   18.22 states/eV per cell
Energy of formation from the pure elements   -0.10 eV per atom
Total magnetization   0.000 μB per atom
Density   7222 kg/m3
Space-group type   P6_3/mcm (193)
Polymorph energy (0 for the lowest one)   0 meV per atom

Cell lengths 7.6283, 7.6288, 5.6909 Å; angles 90.00, 90.00, 60.00 degrees
Element x y z (fractional)
Fe1 0.6004 0.3996 0.7500
Fe2 0.3996 0.6004 0.2500
Fe3 0.3996 0.0000 0.7500
Fe4 0.0000 0.3996 0.2500
Fe5 0.6004 0.0000 0.2500
Fe6 0.0000 0.6004 0.7500
Zr1 0.7581 0.2419 0.2500
Zr2 0.2419 0.7581 0.7500
Zr3 0.2419 0.0000 0.2500
Zr4 0.0000 0.2419 0.7500
Zr5 0.6667 0.6667 0.0000
Zr6 0.6667 0.6667 0.5000
Zr7 0.3333 0.3333 0.0000
Zr8 0.3333 0.3333 0.5000
Zr9 0.7581 0.0000 0.7500
Zr10 0.0000 0.7582 0.2500

---

No. 18
Density functional theory data (GGA-PBE) for a relaxed structure of Tm2Zr2In7.

Calculated values
DFT total energy   -3.960 eV per atom
Fermi-level density of states   6.71 states/eV per cell
Energy of formation from the pure elements   0.15 eV per atom
Total magnetization   0.000 μB per atom
Density   6968 kg/m3
Space-group type   C2/m (12)

Cell lengths 6.7496, 7.0499, 6.7496 Å; angles 89.95, 100.76, 90.05 degrees
Element x y z (fractional)
Tm1 0.8165 0.5000 0.8165
Tm2 0.1835 0.5000 0.1835
Zr1 0.7084 0.0003 0.2916
Zr2 0.2916 0.9997 0.7084
In1 0.0003 0.2802 0.5005
In2 0.5005 0.7198 0.0003
In3 0.9997 0.7198 0.4995
In4 0.4995 0.2802 0.9997
In5 0.0000 0.0000 0.0000
In6 0.5000 0.7100 0.5000
In7 0.5000 0.2900 0.5000

---

No. 19
Density functional theory data (GGA-PBE) for a relaxed structure of KAg2Pb3.

Calculated values
DFT total energy   -3.001 eV per atom
Fermi-level density of states   3.71 states/eV per cell
Energy of formation from the pure elements   -0.01 eV per atom
Total magnetization   0.000 μB per atom
Density   7671 kg/m3
Space-group type   Cmcm (63)

Cell lengths 5.7976, 8.3431, 8.3431 Å; angles 109.91, 90.00, 90.00 degrees
Element x y z (fractional)
K1 0.2500 0.3314 0.3314
K2 0.7500 0.6686 0.6686
Ag1 0.5000 0.8004 0.1996
Ag2 0.0000 0.8004 0.1996
Ag3 0.0000 0.1996 0.8004
Ag4 0.5000 0.1996 0.8004
Pb1 0.7500 0.4705 0.0955
Pb2 0.7500 0.0955 0.4705
Pb3 0.2500 0.5295 0.9045
Pb4 0.7500 0.0767 0.0767
Pb5 0.2500 0.9233 0.9233
Pb6 0.2500 0.9045 0.5295

---

No. 20
Density functional theory data (GGA-PBE) for a relaxed structure of Sn2HgTe.

Calculated values
DFT total energy   -2.804 eV per atom
Fermi-level density of states   2.50 states/eV per cell
Total magnetization   0.000 μB per atom
Density   8453 kg/m3
Formation energy from raw total energies   0.0587 eV/atom
Space-group type   P4/mmm (123)
Polymorph energy (0 for the lowest one)   73 meV per atom

Cell lengths 3.4690, 5.6595, 5.6595 Å; angles 90.00, 90.00, 90.00 degrees
Element x y z (fractional)
Te1 0.5000 0.5000 0.5000
Hg1 0.5000 0.0000 0.0000
Sn1 0.0000 0.0000 0.5000
Sn2 0.0000 0.5000 0.0000